Computed, not measured: a relaxed structure of NaSb2Ru2 at the PBE level of DFT.

E: -5.669 eV/atom
Distance to the lowest polymorph of the same formula: 0.0 kJ/mol of atoms
Space-group type: P4/mbm, No. 127
Formation energy without anion corrections: -45 meV/atom

POSCAR file:
```
NaSb2Ru2
1.0
7.7870 0.0000 0.0000
0.0000 7.7870 0.0000
0.0000 0.0000 3.0996
Na Sb Ru
2 4 4
Direct
0.0000 0.0000 0.0000
0.5000 0.5000 0.0000
0.1568 0.3432 0.5000
0.3432 0.8432 0.5000
0.6568 0.1568 0.5000
0.8432 0.6568 0.5000
0.1361 0.6361 0.0000
0.3639 0.1361 0.0000
0.6361 0.8639 0.0000
0.8639 0.3639 0.0000
```